Below is a relaxed structure of Rb2LiBiO4, with properties calculated at the GGA-PBE level.

```
data_Rb2LiBiO4
_chemical_formula_sum 'Rb16 Li8 Bi8 O32'
_space_group_name_H-M_alt 'F d d d'
_space_group_IT_number 70
_cell_length_a 5.396
_cell_length_b 12.904
_cell_length_c 19.872
_cell_angle_alpha 90.00
_cell_angle_beta 90.00
_cell_angle_gamma 90.00
loop_
_space_group_symop_operation_xyz
'x,y,z'
'-x,-y,-z'
'-x+1/4,-y+1/4,z'
'x+1/4,y+1/4,-z'
'x,-y+1/4,-z+1/4'
'-x,y+1/4,z+1/4'
'-x+1/4,y,-z+1/4'
'x+1/4,-y,z+1/4'
'x,y+1/2,z+1/2'
'-x,-y+1/2,-z+1/2'
'-x+1/4,-y+3/4,z+1/2'
'x+1/4,y+3/4,-z+1/2'
'x,-y+3/4,-z+3/4'
'-x,y+3/4,z+3/4'
'-x+1/4,y+1/2,-z+3/4'
'x+1/4,-y+1/2,z+3/4'
'x+1/2,y,z+1/2'
'-x+1/2,-y,-z+1/2'
'-x+3/4,-y+1/4,z+1/2'
'x+3/4,y+1/4,-z+1/2'
'x+1/2,-y+1/4,-z+3/4'
'-x+1/2,y+1/4,z+3/4'
'-x+3/4,y,-z+3/4'
'x+3/4,-y,z+3/4'
'x+1/2,y+1/2,z'
'-x+1/2,-y+1/2,-z'
'-x+3/4,-y+3/4,z'
'x+3/4,y+3/4,-z'
'x+1/2,-y+3/4,-z+1/4'
'-x+1/2,y+3/4,z+1/4'
'-x+3/4,y+1/2,-z+1/4'
'x+3/4,-y+1/2,z+1/4'
loop_
_atom_site_label
_atom_site_fract_x
_atom_site_fract_y
_atom_site_fract_z
Rb1 0.125 0.125 0.301
Li1 0.125 0.125 0.125
Bi1 0.125 0.125 0.625
O1 0.119 0.284 0.422
```

Properties
- Energy relative to the elements, uncorrected: -1213 meV per atom
- Crystal system: orthorhombic
- Magnetization: 0.00 μB per cell
- Total DFT energy (no corrections): -4.66 eV per atom

***

Below is a relaxed structure of RbLi3Bi4O12, with properties calculated at the GGA-PBE level.

```
data_RbLi3Bi4O12
_chemical_formula_sum 'Rb2 Li6 Bi8 O24'
_space_group_name_H-M_alt 'I m -3'
_space_group_IT_number 204
_space_group_name_Hall '-I 2 2 3'
_cell_length_a 8.098
_cell_length_b 8.098
_cell_length_c 8.098
_cell_angle_alpha 90.00
_cell_angle_beta 90.00
_cell_angle_gamma 90.00
loop_
_atom_site_label
_atom_site_fract_x
_atom_site_fract_y
_atom_site_fract_z
Rb1 0.000 0.000 0.000
Li1 0.000 0.000 0.500
Bi1 0.250 0.250 0.250
O1 0.000 0.314 0.182
```

Properties
- Energy relative to the elements, uncorrected: -1123 meV per atom
- Crystal system: cubic
- Magnetization: 0.02 μB per cell
- Total DFT energy (no corrections): -5.21 eV per atom

***

Below is a relaxed structure of LiRe2BiO8, with properties calculated at the GGA-PBE level.

```
data_LiRe2BiO8
_chemical_formula_sum 'Li2 Re4 Bi2 O16'
_space_group_name_H-M_alt 'C 1 2/m 1'
_space_group_IT_number 12
_space_group_name_Hall '-C 2y'
_cell_length_a 11.037
_cell_length_b 6.441
_cell_length_c 5.755
_cell_angle_alpha 90.00
_cell_angle_beta 93.99
_cell_angle_gamma 90.00
loop_
_atom_site_label
_atom_site_fract_x
_atom_site_fract_y
_atom_site_fract_z
Li1 0.000 0.000 0.000
Re1 0.200 0.500 0.091
Bi1 0.000 0.500 0.500
O1 0.114 0.304 0.243
O2 0.144 0.000 0.817
O3 0.162 0.500 0.786
```

Properties
- Energy relative to the elements, uncorrected: -1450 meV per atom
- Crystal system: monoclinic
- Magnetization: 0.00 μB per cell
- Total DFT energy (no corrections): -7.31 eV per atom